Below is RbCeTlF6 after structural relaxation, with properties calculated at the GGA-PBE level.

Cell and atoms, written as POSCAR:
```
RbCeTlF6
1.0
5.9150 0.0000 0.0000
0.0000 5.9150 0.0000
0.0000 0.0000 12.3177
Rb Ce Tl F
2 2 2 12
Cartesian
2.9575 2.9575 2.0670
0.0000 0.0000 8.2258
2.9575 2.9575 10.2646
0.0000 0.0000 4.1058
2.9575 2.9575 6.1034
0.0000 0.0000 12.2622
1.0394 4.8756 5.7256
4.8756 1.0394 5.7256
1.9181 1.9181 11.8845
3.9969 3.9969 11.8845
1.0272 4.8878 2.4818
4.8878 1.0272 2.4818
1.9303 1.9303 8.6406
3.9847 3.9847 8.6406
4.5040 1.4111 10.2899
1.4111 4.5040 10.2899
4.3686 4.3686 4.1311
1.5465 1.5465 4.1311
```

Values from the calculation:
The space-group type is P4_2nm, No. 102. The value obtained for the size of the total moment is 0.00 μB/f.u. The formation energy from raw total energies is -3159 meV/atom. The value obtained for the uncorrected energy is -5.44 eV per atom.